# LaAl2Br | Alexandria | PBEsol | optimized geometry
# * total magnetization: 0.00 μB/atom
# * formation energy (no corrections): -0.422 eV/atom
# * offset from the most stable computed form: 0 meV per atom
data_LaAl2Br
_chemical_formula_sum 'La1 Al2 Br1'
_cell_length_a 4.1099
_cell_length_b 4.1099
_cell_length_c 5.5867
_cell_angle_alpha 90.00
_cell_angle_beta 90.00
_cell_angle_gamma 90.00
_space_group_name_H-M_alt 'P 4/m m m'
_space_group_IT_number 123
_space_group_name_Hall '-P 4 2'
loop_
_atom_site_label
_atom_site_fract_x
_atom_site_fract_y
_atom_site_fract_z
La1 0.0000 0.0000 0.0000
Al1 0.0000 0.5000 0.5000
Br1 0.5000 0.5000 0.0000


# BaInP2 | Alexandria | PBEsol | optimized geometry
# * total magnetization: 0.00 μB/atom
# * ΔH_f (0 K): -9.36 kcal/mol of atoms
data_BaInP2
_chemical_formula_sum 'Ba2 In2 P4'
_cell_length_a 10.6115
_cell_length_b 3.9260
_cell_length_c 5.1449
_cell_angle_alpha 90.00
_cell_angle_beta 90.79
_cell_angle_gamma 90.00
_space_group_name_H-M_alt 'C 1 m 1'
_space_group_IT_number 8
loop_
_space_group_symop_operation_xyz
'x,y,z'
'x,-y,z'
'x+1/2,y+1/2,z'
'x+1/2,-y+1/2,z'
loop_
_atom_site_label
_atom_site_fract_x
_atom_site_fract_y
_atom_site_fract_z
Ba1 0.0000 0.0000 0.0000
In1 0.2164 0.5000 0.5639
P1 0.2844 0.0000 0.2174
P2 0.4404 0.0000 0.4943


# LiInAg2 | Alexandria | PBEsol | optimized geometry
# * total magnetization: 0.00 μB/atom
# * ΔH_f (0 K): -4.10 kcal/mol of atoms
data_LiInAg2
_chemical_formula_sum 'Li2 In2 Ag4'
_cell_length_a 9.8369
_cell_length_b 3.1845
_cell_length_c 4.7100
_cell_angle_alpha 90.00
_cell_angle_beta 108.99
_cell_angle_gamma 90.00
_space_group_name_H-M_alt 'C 1 m 1'
_space_group_IT_number 8
loop_
_space_group_symop_operation_xyz
'x,y,z'
'x,-y,z'
'x+1/2,y+1/2,z'
'x+1/2,-y+1/2,z'
loop_
_atom_site_label
_atom_site_fract_x
_atom_site_fract_y
_atom_site_fract_z
Li1 0.0000 0.0000 0.0000
In1 0.2396 0.0000 0.6900
Ag1 0.2454 0.5000 0.1902
Ag2 0.4894 0.0000 0.4923


# SbAu2O | Alexandria | PBEsol | optimized geometry
# * total magnetization: 0.00 μB/atom
# * formation energy (no corrections): 0.039 eV/atom
data_SbAu2O
_chemical_formula_sum 'Sb4 Au8 O4'
_cell_length_a 7.1854
_cell_length_b 7.1854
_cell_length_c 5.1500
_cell_angle_alpha 90.00
_cell_angle_beta 90.00
_cell_angle_gamma 90.00
_space_group_name_H-M_alt 'I -4 2 d'
_space_group_IT_number 122
_space_group_name_Hall 'I -4 2bw'
loop_
_atom_site_label
_atom_site_fract_x
_atom_site_fract_y
_atom_site_fract_z
Sb1 0.0000 0.0000 0.0000
Au1 0.2091 0.2500 0.6250
O1 0.0000 0.0000 0.5000


# AlAg6 | Alexandria | PBEsol | optimized geometry
# * total magnetization: 0.00 μB/atom
# * ΔH_f (0 K): -0.78 kcal/mol of atoms
# * offset from the most stable computed form: 22 meV per atom
data_AlAg6
_chemical_formula_sum 'Al2 Ag12'
_cell_length_a 2.8801
_cell_length_b 2.8801
_cell_length_c 27.6113
_cell_angle_alpha 90.00
_cell_angle_beta 90.00
_cell_angle_gamma 90.00
_space_group_name_H-M_alt 'I 4/m m m'
_space_group_IT_number 139
_space_group_name_Hall '-I 4 2'
loop_
_atom_site_label
_atom_site_fract_x
_atom_site_fract_y
_atom_site_fract_z
Al1 0.0000 0.0000 0.0000
Ag1 0.0000 0.0000 0.1409
Ag2 0.0000 0.0000 0.2865
Ag3 0.0000 0.0000 0.4336


# Li2CoSiO4 | Alexandria | PBEsol | optimized geometry
# * total magnetization: 0.38 μB/atom
# * formation energy (no corrections): -2.053 eV/atom
# * offset from the most stable computed form: 0 meV per atom
data_Li2CoSiO4
_chemical_formula_sum 'Li4 Co2 Si2 O8'
_cell_length_a 4.9294
_cell_length_b 5.3125
_cell_length_c 7.9092
_cell_angle_alpha 90.00
_cell_angle_beta 128.38
_cell_angle_gamma 90.00
_space_group_name_H-M_alt 'P 1 c 1'
_space_group_IT_number 7
loop_
_space_group_symop_operation_xyz
'x,y,z'
'x,-y,z+1/2'
loop_
_atom_site_label
_atom_site_fract_x
_atom_site_fract_y
_atom_site_fract_z
Li1 0.0000 0.1597 0.0000
Li2 0.2502 0.3261 0.7518
Co1 0.7402 0.3308 0.2439
Si1 0.4925 0.1734 0.4999
O1 0.1568 0.1793 0.4983
O2 0.3809 0.3179 0.2804
O3 0.6020 0.1199 0.0008
O4 0.8204 0.3175 0.7193


# Na6MnO4 | Alexandria | PBEsol | optimized geometry
# * total magnetization: 0.45 μB/atom
# * formation energy (no corrections): -1.227 eV/atom
# * offset from the most stable computed form: 16 meV per atom
data_Na6MnO4
_chemical_formula_sum 'Na12 Mn2 O8'
_cell_length_a 7.4457
_cell_length_b 7.4457
_cell_length_c 5.4314
_cell_angle_alpha 90.00
_cell_angle_beta 90.00
_cell_angle_gamma 90.00
_space_group_name_H-M_alt 'P 42/n m c'
_space_group_IT_number 137
loop_
_space_group_symop_operation_xyz
'x,y,z'
'-x,-y,-z'
'-y+1/2,x,z+1/2'
'y+1/2,-x,-z+1/2'
'-x+1/2,-y+1/2,z'
'x+1/2,y+1/2,-z'
'y,-x+1/2,z+1/2'
'-y,x+1/2,-z+1/2'
'x+1/2,-y,-z'
'-x+1/2,y,z'
'-y,-x,-z+1/2'
'y,x,z+1/2'
'-x,y+1/2,-z'
'x,-y+1/2,z'
'y+1/2,x+1/2,-z+1/2'
'-y+1/2,-x+1/2,z+1/2'
loop_
_atom_site_label
_atom_site_fract_x
_atom_site_fract_y
_atom_site_fract_z
Na1 0.0383 0.5383 0.2500
Na2 0.2500 0.2500 0.1616
Mn1 0.2500 0.7500 0.7500
O1 0.0044 0.7500 0.5688


# CdSi2Cl2 | Alexandria | PBEsol | optimized geometry
# * total magnetization: 0.00 μB/atom
# * formation energy (no corrections): 0.232 eV/atom
data_CdSi2Cl2
_chemical_formula_sum 'Cd2 Si4 Cl4'
_cell_length_a 8.5753
_cell_length_b 8.5753
_cell_length_c 2.8978
_cell_angle_alpha 90.00
_cell_angle_beta 90.00
_cell_angle_gamma 90.00
_space_group_name_H-M_alt 'P 4/m b m'
_space_group_IT_number 127
_space_group_name_Hall '-P 4 2ab'
loop_
_atom_site_label
_atom_site_fract_x
_atom_site_fract_y
_atom_site_fract_z
Cd1 0.0000 0.0000 0.0000
Si1 0.2277 0.2723 0.5000
Cl1 0.1201 0.6201 0.0000


# Cs2CuBrCl3 | Alexandria | PBEsol | optimized geometry
# * total magnetization: 0.06 μB/atom
# * formation energy (no corrections): -1.310 eV/atom
data_Cs2CuBrCl3
_chemical_formula_sum 'Cs4 Cu2 Br2 Cl6'
_cell_length_a 5.0310
_cell_length_b 5.0310
_cell_length_c 16.5323
_cell_angle_alpha 90.00
_cell_angle_beta 90.00
_cell_angle_gamma 90.00
_space_group_name_H-M_alt 'I 4 m m'
_space_group_IT_number 107
_space_group_name_Hall 'I 4 -2'
loop_
_atom_site_label
_atom_site_fract_x
_atom_site_fract_y
_atom_site_fract_z
Cs1 0.0000 0.0000 0.0000
Cs2 0.0000 0.0000 0.2786
Cu1 0.0000 0.0000 0.6432
Br1 0.0000 0.0000 0.4945
Cl1 0.0000 0.0000 0.7822
Cl2 0.0000 0.5000 0.1410


# Eu4Bi3 | Alexandria | PBEsol | optimized geometry
# * total magnetization: 3.87 μB/atom
# * ΔH_f (0 K): -21.95 kcal/mol of atoms
data_Eu4Bi3
_chemical_formula_sum 'Eu16 Bi12'
_cell_length_a 9.7042
_cell_length_b 9.7042
_cell_length_c 9.7042
_cell_angle_alpha 90.00
_cell_angle_beta 90.00
_cell_angle_gamma 90.00
_space_group_name_H-M_alt 'I -4 3 d'
_space_group_IT_number 220
_space_group_name_Hall 'I -4bd 2c 3'
loop_
_atom_site_label
_atom_site_fract_x
_atom_site_fract_y
_atom_site_fract_z
Eu1 0.0730 0.4270 0.5730
Bi1 0.0000 0.2500 0.8750


# YIn2Ag | Alexandria | PBEsol | optimized geometry
# * total magnetization: 0.00 μB/atom
# * ΔH_f (0 K): -7.18 kcal/mol of atoms
data_YIn2Ag
_chemical_formula_sum 'Y1 In2 Ag1'
_cell_length_a 3.3399
_cell_length_b 4.7164
_cell_length_c 5.9030
_cell_angle_alpha 90.00
_cell_angle_beta 92.05
_cell_angle_gamma 90.00
_space_group_name_H-M_alt 'P 1 2/m 1'
_space_group_IT_number 10
loop_
_space_group_symop_operation_xyz
'x,y,z'
'-x,-y,-z'
'-x,y,-z'
'x,-y,z'
loop_
_atom_site_label
_atom_site_fract_x
_atom_site_fract_y
_atom_site_fract_z
Y1 0.0000 0.0000 0.0000
In1 0.4713 0.5000 0.7498
Ag1 0.5000 0.0000 0.5000


# Li3MgN | Alexandria | PBEsol | optimized geometry
# * total magnetization: 0.00 μB/atom
# * formation energy (no corrections): -0.118 eV/atom
data_Li3MgN
_chemical_formula_sum 'Li3 Mg1 N1'
_cell_length_a 4.0527
_cell_length_b 4.0527
_cell_length_c 4.0527
_cell_angle_alpha 90.00
_cell_angle_beta 90.00
_cell_angle_gamma 90.00
_space_group_name_H-M_alt 'P m -3 m'
_space_group_IT_number 221
_space_group_name_Hall '-P 4 2 3'
loop_
_atom_site_label
_atom_site_fract_x
_atom_site_fract_y
_atom_site_fract_z
Li1 0.0000 0.0000 0.5000
Mg1 0.5000 0.5000 0.5000
N1 0.0000 0.0000 0.0000


# MnBi4S7 | Alexandria | PBEsol | optimized geometry
# * total magnetization: 0.42 μB/atom
# * formation energy (no corrections): -0.394 eV/atom
data_MnBi4S7
_chemical_formula_sum 'Mn2 Bi8 S14'
_cell_length_a 12.6767
_cell_length_b 3.9232
_cell_length_c 11.7127
_cell_angle_alpha 90.00
_cell_angle_beta 104.69
_cell_angle_gamma 90.00
_space_group_name_H-M_alt 'C 1 2/m 1'
_space_group_IT_number 12
loop_
_space_group_symop_operation_xyz
'x,y,z'
'-x,-y,-z'
'-x,y,-z'
'x,-y,z'
'x+1/2,y+1/2,z'
'-x+1/2,-y+1/2,-z'
'-x+1/2,y+1/2,-z'
'x+1/2,-y+1/2,z'
loop_
_atom_site_label
_atom_site_fract_x
_atom_site_fract_y
_atom_site_fract_z
Mn1 0.0000 0.0000 0.0000
Bi1 0.1187 0.0000 0.4199
Bi2 0.1870 0.5000 0.8356
S1 0.0000 0.5000 0.5000
S2 0.0314 0.0000 0.8059
S3 0.1467 0.5000 0.0480
S4 0.2451 0.5000 0.3533


# ZnIrAu | Alexandria | PBEsol | optimized geometry
# * total magnetization: 0.00 μB/atom
# * ΔH_f (0 K): 1.12 kcal/mol of atoms
# * offset from the most stable computed form: 0 meV per atom
data_ZnIrAu
_chemical_formula_sum 'Zn2 Ir2 Au2'
_cell_length_a 2.8161
_cell_length_b 2.8161
_cell_length_c 11.1277
_cell_angle_alpha 90.00
_cell_angle_beta 90.00
_cell_angle_gamma 90.00
_space_group_name_H-M_alt 'I 4 m m'
_space_group_IT_number 107
_space_group_name_Hall 'I 4 -2'
loop_
_atom_site_label
_atom_site_fract_x
_atom_site_fract_y
_atom_site_fract_z
Zn1 0.0000 0.0000 0.0000
Ir1 0.0000 0.0000 0.3499
Au1 0.0000 0.0000 0.6690


# Mg3ZnH24C8O24 | Alexandria | PBEsol | optimized geometry
# * E_tot: -6.00 eV per atom
# * total magnetization: 0.00 μB/atom
data_Mg3ZnH24C8O24
_chemical_formula_sum 'Mg3 Zn1 H24 C8 O24'
_cell_length_a 6.9864
_cell_length_b 8.5544
_cell_length_c 9.3923
_cell_angle_alpha 98.24
_cell_angle_beta 90.27
_cell_angle_gamma 90.02
_space_group_name_H-M_alt 'P -1'
_space_group_IT_number 2
loop_
_space_group_symop_operation_xyz
'x,y,z'
'-x,-y,-z'
loop_
_atom_site_label
_atom_site_fract_x
_atom_site_fract_y
_atom_site_fract_z
Mg1 0.0000 0.0000 0.0000
Mg2 0.0000 0.5000 0.5000
Mg3 0.5000 0.0000 0.5000
Zn1 0.5000 0.5000 0.0000
H1 0.0422 0.3312 0.8772
H2 0.1009 0.2043 0.5070
H3 0.1019 0.2952 0.2672
H4 0.1242 0.7648 0.4593
H5 0.1551 0.4658 0.2257
H6 0.2231 0.9146 0.7316
H7 0.2770 0.9138 0.2317
H8 0.3400 0.4673 0.7266
H9 0.3756 0.7624 0.9593
H10 0.3945 0.2964 0.7684
H11 0.3983 0.2075 0.0064
H12 0.4584 0.3325 0.3752
C1 0.1032 0.6716 0.0753
C2 0.2121 0.0273 0.2798
C3 0.2880 0.0283 0.7800
C4 0.3973 0.6707 0.5749
O1 0.0084 0.2775 0.5636
O2 0.0982 0.0951 0.2033
O3 0.1208 0.4081 0.3081
O4 0.1458 0.7870 0.0091
O5 0.2160 0.5600 0.0921
O6 0.2414 0.0829 0.9078
O7 0.2582 0.0815 0.4081
O8 0.2825 0.5594 0.5883
O9 0.3570 0.7870 0.5089
O10 0.3661 0.4079 0.8096
O11 0.4023 0.0958 0.7043
O12 0.4917 0.2783 0.0661


# CuB2Ir2 | Alexandria | PBEsol | optimized geometry
# * total magnetization: 0.00 μB/atom
# * ΔH_f (0 K): -4.29 kcal/mol of atoms
data_CuB2Ir2
_chemical_formula_sum 'Cu2 B4 Ir4'
_cell_length_a 2.8976
_cell_length_b 2.8976
_cell_length_c 12.7580
_cell_angle_alpha 90.00
_cell_angle_beta 90.00
_cell_angle_gamma 90.00
_space_group_name_H-M_alt 'I 4/m m m'
_space_group_IT_number 139
_space_group_name_Hall '-I 4 2'
loop_
_atom_site_label
_atom_site_fract_x
_atom_site_fract_y
_atom_site_fract_z
Cu1 0.0000 0.0000 0.0000
B1 0.0000 0.5000 0.2500
Ir1 0.0000 0.0000 0.3727


# PrNdHg2 | Alexandria | PBEsol | optimized geometry
# * total magnetization: 0.19 μB/atom
# * ΔH_f (0 K): -12.53 kcal/mol of atoms
data_PrNdHg2
_chemical_formula_sum 'Pr4 Nd4 Hg8'
_cell_length_a 7.5486
_cell_length_b 7.5486
_cell_length_c 7.5486
_cell_angle_alpha 90.00
_cell_angle_beta 90.00
_cell_angle_gamma 90.00
_space_group_name_H-M_alt 'F m -3 m'
_space_group_IT_number 225
_space_group_name_Hall '-F 4 2 3'
loop_
_atom_site_label
_atom_site_fract_x
_atom_site_fract_y
_atom_site_fract_z
Pr1 0.0000 0.0000 0.0000
Nd1 0.0000 0.0000 0.5000
Hg1 0.2500 0.2500 0.2500


# Zr4Ni2H9 | Alexandria | PBEsol | optimized geometry
# * E_tot: -5.76 eV per atom
# * total magnetization: 0.00 μB/atom
data_Zr4Ni2H9
_chemical_formula_sum 'Zr8 Ni4 H18'
_cell_length_a 5.5253
_cell_length_b 5.5407
_cell_length_c 8.7535
_cell_angle_alpha 82.06
_cell_angle_beta 82.29
_cell_angle_gamma 74.81
_space_group_name_H-M_alt 'P -1'
_space_group_IT_number 2
loop_
_space_group_symop_operation_xyz
'x,y,z'
'-x,-y,-z'
loop_
_atom_site_label
_atom_site_fract_x
_atom_site_fract_y
_atom_site_fract_z
Zr1 0.1655 0.4959 0.3381
Zr2 0.2481 0.9246 0.5797
Zr3 0.2489 0.6005 0.9203
Zr4 0.3218 0.0153 0.1666
Ni1 0.1505 0.1490 0.8485
Ni2 0.3730 0.3745 0.6254
H1 0.0012 0.7478 0.5019
H2 0.0087 0.7577 0.7486
H3 0.1221 0.2879 0.0042
H4 0.1516 0.7454 0.1411
H5 0.3335 0.7727 0.3648
H6 0.3476 0.9282 0.9423
H7 0.3727 0.3831 0.1233
H8 0.3775 0.1271 0.3791
H9 0.4269 0.5990 0.7013


# Ba3OsRh | Alexandria | PBEsol | optimized geometry
# * total magnetization: 0.20 μB/atom
# * ΔH_f (0 K): 22.18 kcal/mol of atoms
data_Ba3OsRh
_chemical_formula_sum 'Ba3 Os1 Rh1'
_cell_length_a 5.6296
_cell_length_b 5.6296
_cell_length_c 5.6296
_cell_angle_alpha 90.00
_cell_angle_beta 90.00
_cell_angle_gamma 90.00
_space_group_name_H-M_alt 'P m -3 m'
_space_group_IT_number 221
_space_group_name_Hall '-P 4 2 3'
loop_
_atom_site_label
_atom_site_fract_x
_atom_site_fract_y
_atom_site_fract_z
Ba1 0.0000 0.0000 0.5000
Os1 0.5000 0.5000 0.5000
Rh1 0.0000 0.0000 0.0000


# ZrTl2Pb | Alexandria | PBEsol | optimized geometry
# * total magnetization: 0.00 μB/atom
# * ΔH_f (0 K): 2.19 kcal/mol of atoms
# * offset from the most stable computed form: 67 meV per atom
data_ZrTl2Pb
_chemical_formula_sum 'Zr2 Tl4 Pb2'
_cell_length_a 3.5932
_cell_length_b 5.5367
_cell_length_c 10.2631
_cell_angle_alpha 90.00
_cell_angle_beta 90.00
_cell_angle_gamma 90.00
_space_group_name_H-M_alt 'C m m m'
_space_group_IT_number 65
_space_group_name_Hall '-C 2 2'
loop_
_atom_site_label
_atom_site_fract_x
_atom_site_fract_y
_atom_site_fract_z
Zr1 0.0000 0.0000 0.0000
Tl1 0.0000 0.5000 0.2341
Pb1 0.0000 0.0000 0.5000


# CdPtPb2 | Alexandria | PBEsol | optimized geometry
# * total magnetization: 0.00 μB/atom
# * ΔH_f (0 K): -1.79 kcal/mol of atoms
data_CdPtPb2
_chemical_formula_sum 'Cd2 Pt2 Pb4'
_cell_length_a 3.2728
_cell_length_b 4.5541
_cell_length_c 13.0144
_cell_angle_alpha 90.00
_cell_angle_beta 90.00
_cell_angle_gamma 90.00
_space_group_name_H-M_alt 'I m m m'
_space_group_IT_number 71
_space_group_name_Hall '-I 2 2'
loop_
_atom_site_label
_atom_site_fract_x
_atom_site_fract_y
_atom_site_fract_z
Cd1 0.0000 0.0000 0.0000
Pt1 0.0000 0.0000 0.5000
Pb1 0.0000 0.5000 0.1813